Version P
Below is CuAg4 after structural relaxation, with properties calculated at the PBE level.

Cell lengths 22.974, 22.974, 22.974 Å; angles 7.26, 7.26, 7.26 degrees
Element x y z (fractional)
Cu  0.900  0.900  0.900
Cu  0.100  0.100  0.100
Ag  0.299  0.299  0.299
Ag  0.500  0.500  0.500
Ag  0.701  0.701  0.701
Ag  0.798  0.798  0.798
Ag  0.000  0.000  0.000
Ag  0.403  0.403  0.403
Ag  0.202  0.202  0.202
Ag  0.597  0.597  0.597



Version Q
Below is CuAg4 after structural relaxation, with properties calculated at the PBE level.

Cell lengths 5.039, 5.039, 12.129 Å; angles 99.66, 99.66, 33.63 degrees
Element x y z (fractional)
Ag  0.263  0.263  0.235
Ag  0.967  0.967  0.126
Ag  0.852  0.852  0.447
Ag  0.737  0.737  0.765
Ag  0.148  0.148  0.553
Ag  0.443  0.443  0.660
Ag  0.033  0.033  0.874
Ag  0.557  0.557  0.340
Cu  0.671  0.671  0.048
Cu  0.329  0.329  0.952



Which structure is the least stable? The one labeled version P.